# 1
# Ce4HoTh3As8 PBE relaxed
data_Ce4HoTh3As8
_chemical_formula_sum 'Ce12 Ho3 Th9 As24'
_cell_length_a 8.4403
_cell_length_b 8.4403
_cell_length_c 20.7330
_cell_angle_alpha 90.00
_cell_angle_beta 90.00
_cell_angle_gamma 120.00
_space_group_name_H-M_alt 'R -3 m'
_space_group_IT_number 166
_space_group_name_Hall '-R 3 2"'
loop_
_atom_site_label
_atom_site_fract_x
_atom_site_fract_y
_atom_site_fract_z
Ce1 0.0000 0.0000 0.0000
Ce2 0.0000 0.5000 0.0000
Ho1 0.0000 0.0000 0.5000
Th1 0.0000 0.5000 0.5000
As1 0.0000 0.0000 0.2508
As2 0.0045 0.5022 0.2496
# Raw total energy ... -6.925 eV per atom

# 2
# CaGaFeP PBE relaxed
data_CaGaFeP
_chemical_formula_sum 'Ca2 Ga2 Fe2 P2'
_cell_length_a 3.780
_cell_length_b 3.780
_cell_length_c 10.512
_cell_angle_alpha 90.00
_cell_angle_beta 90.00
_cell_angle_gamma 90.00
_space_group_name_H-M_alt 'P 4/n m m'
_space_group_IT_number 129
loop_
_space_group_symop_operation_xyz
'x,y,z'
'-x,-y,-z'
'-y+1/2,x,z'
'y+1/2,-x,-z'
'-x+1/2,-y+1/2,z'
'x+1/2,y+1/2,-z'
'y,-x+1/2,z'
'-y,x+1/2,-z'
'x+1/2,-y,-z'
'-x+1/2,y,z'
'-y,-x,-z'
'y,x,z'
'-x,y+1/2,-z'
'x,-y+1/2,z'
'y+1/2,x+1/2,-z'
'-y+1/2,-x+1/2,z'
loop_
_atom_site_label
_atom_site_fract_x
_atom_site_fract_y
_atom_site_fract_z
Ca1 0.250 0.250 0.240
Ga1 0.250 0.750 0.500
Fe1 0.250 0.750 0.000
P1 0.250 0.250 0.891
# Raw total energy ... -5.364 eV per atom

# 3
# SrAc3Sb4 PBE relaxed
data_SrAc3Sb4
_chemical_formula_sum 'Sr1 Ac3 Sb4'
_cell_length_a 6.775
_cell_length_b 6.775
_cell_length_c 6.775
_cell_angle_alpha 90.00
_cell_angle_beta 90.00
_cell_angle_gamma 90.00
_space_group_name_H-M_alt 'P m -3 m'
_space_group_IT_number 221
_space_group_name_Hall '-P 4 2 3'
loop_
_atom_site_label
_atom_site_fract_x
_atom_site_fract_y
_atom_site_fract_z
Sr1 0.000 0.000 0.000
Ac1 0.000 0.500 0.500
Sb1 0.000 0.000 0.500
Sb2 0.500 0.500 0.500
# Energy relative to the elements, uncorrected ... -1.10 eV per atom

# 4
# CaCeIr PBE relaxed
data_CaCeIr
_chemical_formula_sum 'Ca2 Ce2 Ir2'
_cell_length_a 3.503
_cell_length_b 3.503
_cell_length_c 13.283
_cell_angle_alpha 90.00
_cell_angle_beta 90.00
_cell_angle_gamma 90.00
_space_group_name_H-M_alt 'I 4 m m'
_space_group_IT_number 107
_space_group_name_Hall 'I 4 -2'
loop_
_atom_site_label
_atom_site_fract_x
_atom_site_fract_y
_atom_site_fract_z
Ca1 0.000 0.000 0.000
Ce1 0.000 0.000 0.252
Ir1 0.000 0.000 0.644
# Offset from the most stable computed form ... 0.06 eV/f.u.

# 5
# NdAl6 PBE relaxed
data_NdAl6
_chemical_formula_sum 'Nd2 Al12'
_cell_length_a 5.961
_cell_length_b 5.961
_cell_length_c 7.960
_cell_angle_alpha 90.00
_cell_angle_beta 90.00
_cell_angle_gamma 90.00
_space_group_name_H-M_alt 'P 4/n b m'
_space_group_IT_number 125
loop_
_space_group_symop_operation_xyz
'x,y,z'
'-x,-y,-z'
'-y+1/2,x,z'
'y+1/2,-x,-z'
'-x+1/2,-y+1/2,z'
'x+1/2,y+1/2,-z'
'y,-x+1/2,z'
'-y,x+1/2,-z'
'x,-y+1/2,-z'
'-x,y+1/2,z'
'-y+1/2,-x+1/2,-z'
'y+1/2,x+1/2,z'
'-x+1/2,y,-z'
'x+1/2,-y,z'
'y,x,-z'
'-y,-x,z'
loop_
_atom_site_label
_atom_site_fract_x
_atom_site_fract_y
_atom_site_fract_z
Nd1 0.250 0.750 0.000
Al1 0.071 0.571 0.355
Al2 0.250 0.250 0.161
# Raw total energy ... -4.094 eV per atom

# 6
# As2HWBr PBE relaxed
data_As2HWBr
_chemical_formula_sum 'As2 H1 W1 Br1'
_cell_length_a 4.842
_cell_length_b 4.842
_cell_length_c 5.392
_cell_angle_alpha 90.00
_cell_angle_beta 90.00
_cell_angle_gamma 90.00
_space_group_name_H-M_alt 'P 4/m m m'
_space_group_IT_number 123
_space_group_name_Hall '-P 4 2'
loop_
_atom_site_label
_atom_site_fract_x
_atom_site_fract_y
_atom_site_fract_z
As1 0.000 0.500 0.000
H1 0.000 0.000 0.500
W1 0.500 0.500 0.000
Br1 0.500 0.500 0.500
# Offset from the most stable computed form ... 0.00 eV/f.u.

# 7
# TiHO2 PBE relaxed
data_TiHO2
_chemical_formula_sum 'Ti4 H4 O8'
_cell_length_a 4.941
_cell_length_b 4.941
_cell_length_c 4.941
_cell_angle_alpha 90.00
_cell_angle_beta 90.00
_cell_angle_gamma 90.00
_space_group_name_H-M_alt 'F m -3 m'
_space_group_IT_number 225
_space_group_name_Hall '-F 4 2 3'
loop_
_atom_site_label
_atom_site_fract_x
_atom_site_fract_y
_atom_site_fract_z
Ti1 0.000 0.000 0.000
H1 0.000 0.000 0.500
O1 0.250 0.250 0.250
# Raw total energy ... -6.595 eV per atom

# 8
# Sm3Y2Tm7 PBE relaxed
data_Sm3Y2Tm7
_chemical_formula_sum 'Sm3 Y2 Tm7'
_cell_length_a 5.764
_cell_length_b 3.537
_cell_length_c 18.676
_cell_angle_alpha 90.00
_cell_angle_beta 93.08
_cell_angle_gamma 90.00
_space_group_name_H-M_alt 'P 1 2/m 1'
_space_group_IT_number 10
loop_
_space_group_symop_operation_xyz
'x,y,z'
'-x,-y,-z'
'-x,y,-z'
'x,-y,z'
loop_
_atom_site_label
_atom_site_fract_x
_atom_site_fract_y
_atom_site_fract_z
Sm1 0.000 0.000 0.000
Sm2 0.277 0.500 0.632
Y1 0.210 0.000 0.292
Tm1 0.191 0.500 0.142
Tm2 0.243 0.000 0.462
Tm3 0.307 0.000 0.825
Tm4 0.500 0.500 0.000
# Offset from the most stable computed form ... 0.04 eV/f.u.

# 9
# Tm2Hg2Pt PBE relaxed
data_Tm2Hg2Pt
_chemical_formula_sum 'Tm4 Hg4 Pt2'
_cell_length_a 3.504
_cell_length_b 19.725
_cell_length_c 3.437
_cell_angle_alpha 90.00
_cell_angle_beta 90.00
_cell_angle_gamma 90.00
_space_group_name_H-M_alt 'C m m m'
_space_group_IT_number 65
_space_group_name_Hall '-C 2 2'
loop_
_atom_site_label
_atom_site_fract_x
_atom_site_fract_y
_atom_site_fract_z
Tm1 0.000 0.085 0.000
Hg1 0.000 0.311 0.500
Pt1 0.000 0.500 0.500
# Raw total energy ... -3.794 eV per atom

# 10
# Mg2AlSn PBE relaxed
data_Mg2AlSn
_chemical_formula_sum 'Mg6 Al3 Sn3'
_cell_length_a 4.7257
_cell_length_b 4.7257
_cell_length_c 15.0185
_cell_angle_alpha 90.00
_cell_angle_beta 90.00
_cell_angle_gamma 120.00
_space_group_name_H-M_alt 'R 3 m'
_space_group_IT_number 160
_space_group_name_Hall 'R 3 -2"'
loop_
_atom_site_label
_atom_site_fract_x
_atom_site_fract_y
_atom_site_fract_z
Mg1 0.0000 0.0000 0.0000
Mg2 0.0000 0.0000 0.2092
Al1 0.0000 0.0000 0.6215
Sn1 0.0000 0.0000 0.4288
# Raw total energy ... -2.654 eV per atom

# 11
# TaCo3N PBE relaxed
data_TaCo3N
_chemical_formula_sum 'Ta1 Co3 N1'
_cell_length_a 4.511
_cell_length_b 4.511
_cell_length_c 4.511
_cell_angle_alpha 90.00
_cell_angle_beta 90.00
_cell_angle_gamma 90.00
_space_group_name_H-M_alt 'P m -3 m'
_space_group_IT_number 221
_space_group_name_Hall '-P 4 2 3'
loop_
_atom_site_label
_atom_site_fract_x
_atom_site_fract_y
_atom_site_fract_z
Ta1 0.000 0.000 0.000
Co1 0.000 0.000 0.500
N1 0.500 0.500 0.500
# Offset from the most stable computed form ... 12.50 eV/f.u.
# Energy relative to the elements, uncorrected ... 2.54 eV per atom

# 12
# Ca2BiHPt PBE relaxed
data_Ca2BiHPt
_chemical_formula_sum 'Ca2 Bi1 H1 Pt1'
_cell_length_a 5.329
_cell_length_b 5.329
_cell_length_c 3.727
_cell_angle_alpha 90.00
_cell_angle_beta 90.00
_cell_angle_gamma 90.00
_space_group_name_H-M_alt 'P 4/m m m'
_space_group_IT_number 123
_space_group_name_Hall '-P 4 2'
loop_
_atom_site_label
_atom_site_fract_x
_atom_site_fract_y
_atom_site_fract_z
Ca1 0.000 0.500 0.000
Bi1 0.000 0.000 0.500
H1 0.500 0.500 0.000
Pt1 0.500 0.500 0.500
# Raw total energy ... -4.152 eV per atom